(1)
The following is a DFT calculation (meta-GGA SCAN) of Si3P at its PBEsol-relaxed geometry.

a b c (Å): 4.295 5.523 5.523
angles (deg): 108.61 90.00 90.00
Positions (direct):
Si 0.750 0.980 0.595
P 0.750 0.540 0.460
Si 0.250 0.595 0.980
P 0.250 0.460 0.540
Si 0.750 0.932 0.068
Si 0.250 0.068 0.932
Si 0.250 0.020 0.405
Si 0.750 0.405 0.020

Formation energy without anion corrections ... 0.430 eV per atom
Excess energy over the best structure of this formula in the dataset ... 0 meV per atom
Symmetry ... No. 63
Final energy ... -9.68 eV/atom

***

(2)
The following is a DFT calculation (meta-GGA SCAN) of SiP2 at its PBEsol-relaxed geometry.

a b c (Å): 3.436 9.643 14.075
angles (deg): 90.00 90.00 90.00
Positions (direct):
Si 0.500 0.705 0.768
P 0.500 0.059 0.605
P 0.500 0.614 0.614
P 0.500 0.886 0.114
Si 0.500 0.205 0.732
P 0.000 0.851 0.797
P 0.000 0.231 0.953
Si 0.000 0.420 0.856
P 0.500 0.559 0.895
P 0.500 0.386 0.386
Si 0.500 0.795 0.268
P 0.000 0.769 0.047
P 0.500 0.114 0.886
Si 0.000 0.920 0.644
P 0.500 0.941 0.395
Si 0.500 0.295 0.232
Si 0.000 0.580 0.144
P 0.000 0.649 0.297
P 0.000 0.731 0.547
P 0.000 0.269 0.453
P 0.000 0.351 0.703
P 0.500 0.441 0.105
P 0.000 0.149 0.203
Si 0.000 0.080 0.356

Formation energy without anion corrections ... -0.132 eV per atom
Excess energy over the best structure of this formula in the dataset ... 14 meV per atom
Symmetry ... No. 55
Final energy ... -10.40 eV/atom

***

(3)
The following is a DFT calculation (meta-GGA SCAN) of SiP2 at its PBEsol-relaxed geometry.

a b c (Å): 5.690 5.690 5.690
angles (deg): 90.00 90.00 90.00
Positions (direct):
Si 0.500 0.500 0.000
P 0.890 0.390 0.110
P 0.110 0.890 0.390
Si 0.000 0.000 0.000
P 0.610 0.890 0.110
P 0.110 0.610 0.890
Si 0.000 0.500 0.500
P 0.890 0.110 0.610
P 0.390 0.110 0.890
P 0.610 0.610 0.610
P 0.390 0.390 0.390
Si 0.500 0.000 0.500

Formation energy without anion corrections ... -0.146 eV per atom
Excess energy over the best structure of this formula in the dataset ... 0 meV per atom
Symmetry ... No. 205
Final energy ... -10.42 eV/atom